The following is a DFT calculation (SCAN) of Li2ZnPb at its PBEsol-relaxed geometry.

Cell lengths 4.236, 4.236, 4.989 Å; angles 115.12, 115.12, 90.00 degrees
Element x y z (fractional)
1 Li 0.250 0.750 0.500
2 Pb 0.000 0.000 0.000
3 Zn 0.500 0.500 0.000
4 Li 0.750 0.250 0.500

Properties
final energy	-95.2	eV/cell
symmetry	I4/mmm
calculated formation energy	-0.286	eV/atom

***

The following is a DFT calculation (SCAN) of ZrTaH2W at its PBEsol-relaxed geometry.

Cell lengths 3.747, 3.747, 5.090 Å; angles 90.00, 90.00, 90.00 degrees
Element x y z (fractional)
1 H 0.500 0.000 0.000
2 Ta 0.000 0.000 0.000
3 Zr 0.500 0.500 0.500
4 H 0.000 0.500 0.000
5 W 0.000 0.000 0.500

Properties
final energy	-170.2	eV/cell
symmetry	P4/mmm

***

The following is a DFT calculation (SCAN) of InAs2SeCl at its PBEsol-relaxed geometry.

Cell lengths 4.943, 4.943, 4.871 Å; angles 90.00, 90.00, 90.00 degrees
Last column: magnetic moment on the atom in μB.
Element x y z (fractional)
1 Cl 0.000 0.000 0.000  -0.03
2 In 0.500 0.500 0.500  -0.01
3 As 0.000 0.500 0.000  -0.17
4 Se 0.000 0.000 0.500  -0.11
5 As 0.500 0.000 0.000  -0.17

Properties
formation energy without anion corrections	0.88	eV/atom
final energy	-97.4	eV/cell
symmetry	P4/mmm

***

The following is a DFT calculation (SCAN) of MoNF2 at its PBEsol-relaxed geometry.

Cell lengths 3.689, 3.689, 3.689 Å; angles 60.00, 60.00, 60.00 degrees
Last column: magnetic moment on the atom in μB.
Element x y z (fractional)
1 F 0.750 0.750 0.750  -0.09
2 N 0.000 0.000 0.000  -0.94
3 Mo 0.500 0.500 0.500  2.34
4 F 0.250 0.250 0.250  -0.09

Properties
formation energy without anion corrections	0.12	eV/atom
final energy	-50.8	eV/cell
symmetry	Fm-3m

***

The following is a DFT calculation (SCAN) of Li2TlCr at its PBEsol-relaxed geometry.

Cell lengths 3.073, 4.936, 5.566 Å; angles 114.66, 103.53, 95.46 degrees
Last column: magnetic moment on the atom in μB.
Element x y z (fractional)
1 Li 0.500 0.500 0.500  0.00
2 Tl 0.500 0.000 0.000  -0.07
3 Li 0.000 0.000 0.500  0.00
4 Cr 0.000 0.500 0.000  3.84

Properties
final energy	-95.2	eV/cell
symmetry	C2/m
calculated formation energy	0.070	eV/atom

***

The following is a DFT calculation (SCAN) of TcAgW at its PBEsol-relaxed geometry.

Cell lengths 2.633, 4.188, 4.819 Å; angles 115.75, 105.85, 90.00 degrees
Element x y z (fractional)
1 W 0.667 0.667 0.335
2 Tc 0.334 0.334 0.668
3 Ag 0.999 0.999 0.998

Properties
final energy	-134.7	eV/cell
symmetry	Imm2
calculated formation energy	0.469	eV/atom
energy relative to the lowest polymorph listed for this composition	69.2	meV per atom

***

The following is a DFT calculation (SCAN) of SnHAu3 at its PBEsol-relaxed geometry.

Cell lengths 5.143, 5.143, 5.143 Å; angles 90.00, 90.00, 90.00 degrees
Last column: magnetic moment on the atom in μB.
Element x y z (fractional)
1 H 0.500 0.500 0.500  0.36
2 Au 0.000 0.500 0.000  0.03
3 Au 0.000 0.000 0.500  0.03
4 Au 0.500 0.000 0.000  0.03
5 Sn 0.000 0.000 0.000  0.01

Properties
final energy	-242.1	eV/cell
symmetry	Pm-3m

***

The following is a DFT calculation (SCAN) of Sr2ZnRu at its PBEsol-relaxed geometry.

Cell lengths 5.003, 5.003, 5.003 Å; angles 60.00, 60.00, 60.00 degrees
Element x y z (fractional)
1 Sr 0.000 0.000 0.000
2 Ru 0.500 0.500 0.500
3 Sr 0.750 0.750 0.750
4 Zn 0.250 0.250 0.250

Properties
final energy	-91.1	eV/cell
symmetry	F-43m
calculated formation energy	0.445	eV/atom

***

Q: What is the final energy in the seventh record?
A: -242.1 eV/cell

***

Q: Number 2 is which compound?
A: ZrTaH2W

***

Please write out number 4 again, unchanged.
The following is a DFT calculation (SCAN) of MoNF2 at its PBEsol-relaxed geometry.

Cell lengths 3.689, 3.689, 3.689 Å; angles 60.00, 60.00, 60.00 degrees
Last column: magnetic moment on the atom in μB.
Element x y z (fractional)
1 F 0.750 0.750 0.750  -0.09
2 N 0.000 0.000 0.000  -0.94
3 Mo 0.500 0.500 0.500  2.34
4 F 0.250 0.250 0.250  -0.09

Properties
formation energy without anion corrections	0.12	eV/atom
final energy	-50.8	eV/cell
symmetry	Fm-3m